## V3CuMo (PBE)

Data for a relaxed structure of V3CuMo.

Results
The calculation puts the calculated volume at 18.51 A^3/atom. The formation energy from the elements is 1429 meV/atom. The excess energy over the best structure of this formula in the dataset is 95 meV per atom. The crystal system is cubic. Its uncorrected energy is -35.137 eV/cell.

Cell lengths 4.5231, 4.5231, 4.5231 Å; angles 90.00, 90.00, 90.00 degrees
Last column: nearest neighbours and their distance in Å.
Sites, in units of the cell vectors:
V1 0.0000 0.5000 0.0000  2 Mo 2.26
V2 0.0000 0.0000 0.5000  2 Mo 2.26
V3 0.5000 0.0000 0.0000  2 Mo 2.26
Mo1 0.0000 0.0000 0.0000  6 V 2.26
Cu1 0.5000 0.5000 0.5000  12 V 3.20

***

## V2Cu2Mo (PBE)

Data for a relaxed structure of V2Cu2Mo.

Results
The calculation puts the calculated volume at 13.49 A^3/atom. The formation energy from the elements is 269 meV/atom. The crystal system is tetragonal. Its uncorrected energy is -71.832 eV/cell.

Cell lengths 7.1951, 7.1951, 2.6055 Å; angles 90.00, 90.00, 90.00 degrees
Last column: nearest neighbours and their distance in Å.
Sites, in units of the cell vectors:
Cu1 0.1195 0.3805 0.0000  3 Cu 2.43-2.61, 6 V 2.44-2.54
V1 0.3226 0.1774 0.5000  6 Cu 2.44-2.54, 2 V 2.61
V2 0.8226 0.3226 0.5000  6 Cu 2.44-2.54, 2 V 2.61
Cu2 0.3805 0.8805 0.0000  3 Cu 2.43-2.61, 6 V 2.44-2.54
Cu3 0.6195 0.1195 0.0000  3 Cu 2.43-2.61, 6 V 2.44-2.54
Cu4 0.8805 0.6195 0.0000  3 Cu 2.43-2.61, 6 V 2.44-2.54
V3 0.6774 0.8226 0.5000  6 Cu 2.44-2.54, 2 V 2.61
V4 0.1774 0.6774 0.5000  6 Cu 2.44-2.54, 2 V 2.61
Mo1 0.0000 0.0000 0.0000  2 Mo 2.61, 4 Cu 2.87
Mo2 0.5000 0.5000 0.0000  2 Mo 2.61, 4 Cu 2.87

***

## VCuMo2 (PBE)

Data for a relaxed structure of VCuMo2.

Results
The calculation puts the calculated volume at 15.37 A^3/atom. The formation energy from the elements is 702 meV/atom. The excess energy over the best structure of this formula in the dataset is 552 meV per atom. The crystal system is tetragonal. Its uncorrected energy is -64.141 eV/cell.

Cell lengths 6.8561, 6.8561, 5.5089 Å; angles 51.52, 51.52, 90.00 degrees
Last column: nearest neighbours and their distance in Å.
Sites, in units of the cell vectors:
V1 0.2500 0.7500 0.5000  4 Mo 2.50, 2 Cu 2.62
Mo1 0.8750 0.8735 0.7500  2 V 2.50, 2 Cu 2.52, 2 Mo 2.62
Mo2 0.6235 0.1250 0.2500  2 V 2.50, 2 Cu 2.52, 2 Mo 2.62
Cu1 0.7500 0.2500 0.5000  4 Mo 2.52, 2 V 2.62
Mo3 0.3750 0.3765 0.7500  2 V 2.50, 2 Cu 2.52, 2 Mo 2.62
V2 0.5000 0.5000 0.0000  4 Mo 2.50, 2 Cu 2.62
Cu2 0.0000 0.0000 0.0000  4 Mo 2.52, 2 V 2.62
Mo4 0.1265 0.6250 0.2500  2 V 2.50, 2 Cu 2.52, 2 Mo 2.62

***

## VCuMo3 (PBE)

Data for a relaxed structure of VCuMo3.

Results
The calculation puts the calculated volume at 18.21 A^3/atom. The formation energy from the elements is 1695 meV/atom. The crystal system is cubic. Its uncorrected energy is -37.233 eV/cell.

Cell lengths 4.4987, 4.4987, 4.4987 Å; angles 90.00, 90.00, 90.00 degrees
Last column: nearest neighbours and their distance in Å.
Sites, in units of the cell vectors:
Mo1 0.5000 0.0000 0.0000  2 Cu 2.25
Mo2 0.0000 0.0000 0.5000  2 Cu 2.25
V1 0.5000 0.5000 0.5000  12 Mo 3.18
Cu1 0.0000 0.0000 0.0000  6 Mo 2.25
Mo3 0.0000 0.5000 0.0000  2 Cu 2.25

***

## V3CuMo (PBE)

Data for a relaxed structure of V3CuMo.

Results
The calculation puts the calculated volume at 16.34 A^3/atom. The formation energy from the elements is 1335 meV/atom. The excess energy over the best structure of this formula in the dataset is 0 meV per atom. The crystal system is cubic. Its uncorrected energy is -35.610 eV/cell.

Cell lengths 4.3393, 4.3393, 4.3393 Å; angles 90.00, 90.00, 90.00 degrees
Last column: nearest neighbours and their distance in Å.
Sites, in units of the cell vectors:
Mo1 0.5000 0.5000 0.5000  12 V 3.07
V1 0.0000 0.5000 0.0000  2 Cu 2.17
V2 0.0000 0.0000 0.5000  2 Cu 2.17
V3 0.5000 0.0000 0.0000  2 Cu 2.17
Cu1 0.0000 0.0000 0.0000  6 V 2.17

***

## VCu2Mo (PBE)

Data for a relaxed structure of VCu2Mo.

Results
The calculation puts the calculated volume at 13.63 A^3/atom. The formation energy from the elements is 395 meV/atom. The excess energy over the best structure of this formula in the dataset is 0 meV per atom. The crystal system is cubic. Its uncorrected energy is -26.564 eV/cell.

Cell lengths 4.2566, 4.2566, 4.2566 Å; angles 60.00, 60.00, 60.00 degrees
Last column: nearest neighbours and their distance in Å.
Sites, in units of the cell vectors:
Cu1 0.2500 0.2500 0.2500  4 Mo 2.61, 4 V 2.61
V1 0.0000 0.0000 0.0000  8 Cu 2.61
Cu2 0.7500 0.7500 0.7500  4 Mo 2.61, 4 V 2.61
Mo1 0.5000 0.5000 0.5000  8 Cu 2.61

***

## VCuMo2 (PBE)

Data for a relaxed structure of VCuMo2.

Results
The calculation puts the calculated volume at 14.37 A^3/atom. The formation energy from the elements is 274 meV/atom. The excess energy over the best structure of this formula in the dataset is 124 meV per atom. The crystal system is cubic. Its uncorrected energy is -33.782 eV/cell.

Cell lengths 4.3323, 4.3323, 4.3323 Å; angles 60.00, 60.00, 60.00 degrees
Last column: nearest neighbours and their distance in Å.
Sites, in units of the cell vectors:
Mo1 0.2500 0.2500 0.2500  4 Cu 2.65, 4 V 2.65
V1 0.0000 0.0000 0.0000  8 Mo 2.65
Cu1 0.5000 0.5000 0.5000  8 Mo 2.65
Mo2 0.7500 0.7500 0.7500  4 Cu 2.65, 4 V 2.65

***

## YVCuMo2 (PBE)

Data for a relaxed structure of YVCuMo2.

Results
The calculation puts the calculated volume at 21.25 A^3/atom. The formation energy from the elements is 2371 meV/atom. The crystal system is tetragonal. Its uncorrected energy is -29.487 eV/cell.

Cell lengths 4.7824, 4.6461, 4.7824 Å; angles 90.00, 90.00, 90.00 degrees
Last column: nearest neighbours and their distance in Å.
Sites, in units of the cell vectors:
Y1 0.0000 0.0000 0.0000  2 Cu 2.32, 4 Mo 2.39
Cu1 0.0000 0.5000 0.0000  2 Y 2.32
Mo1 0.5000 0.0000 0.0000  2 Y 2.39
Mo2 0.0000 0.0000 0.5000  2 Y 2.39
V1 0.5000 0.5000 0.5000  8 Mo 3.33, 4 Cu 3.38